Entry 1:
Computed, not measured: a relaxed structure of DyTmTl3 at the PBE-GGA level of DFT.

Cell and atoms, written as extended XYZ:
```
10
Lattice="7.371 0.000 0.000 -3.685 6.383 0.000 0.000 0.000 6.351" Properties=species:S:1:pos:R:3 pbc="T T T"
Dy 0.000 4.255 1.588
Dy 3.685 2.128 4.764
Tm 0.000 0.000 0.000
Tm 0.000 0.000 3.176
Tl 0.000 2.539 4.764
Tl -1.487 5.114 4.764
Tl 2.199 1.269 1.588
Tl 1.487 5.114 4.764
Tl 5.172 1.269 1.588
Tl 3.685 3.844 1.588
```

Results
The formation energy is -1 kJ per mole of atoms. The calculation puts the magnetization at 0.00 Bohr magnetons per cell. As for the uncorrected energy: -32.4 eV for the cell shown.

Entry 2:
Computed, not measured: a relaxed structure of Dy14TmTl at the PBE-GGA level of DFT.

Cell and atoms, written as extended XYZ:
```
16
Lattice="7.018 0.000 0.000 0.000 7.018 0.000 0.000 0.000 9.990" Properties=species:S:1:pos:R:3 pbc="T T T"
Dy 0.000 0.000 0.000
Dy 0.000 3.509 0.000
Dy 0.000 3.509 4.995
Dy 1.749 1.749 2.519
Dy 1.749 1.749 7.471
Dy 1.749 5.269 2.519
Dy 1.749 5.269 7.471
Dy 3.509 0.000 0.000
Dy 3.509 0.000 4.995
Dy 3.509 3.509 0.000
Dy 5.269 1.749 2.519
Dy 5.269 1.749 7.471
Dy 5.269 5.269 2.519
Dy 5.269 5.269 7.471
Tm 0.000 0.000 4.995
Tl 3.509 3.509 4.995
```

Results
The formation energy is -1 kJ per mole of atoms. The calculation puts the magnetization at 0.00 Bohr magnetons per cell. As for the uncorrected energy: -71.5 eV for the cell shown.

Entry 3:
Computed, not measured: a relaxed structure of Dy2Tm7Tl2 at the PBE-GGA level of DFT.

Cell and atoms, written as extended XYZ:
```
11
Lattice="-1.807 9.752 4.773 1.807 -9.752 4.773 1.807 9.752 -4.773" Properties=species:S:1:pos:R:3 pbc="T T T"
Dy 0.000 0.000 0.000
Dy 0.000 9.752 1.655
Tm 1.807 6.659 -3.193
Tm 0.000 3.093 1.580
Tm 1.807 0.000 3.110
Tm 1.807 7.162 0.343
Tm 0.000 2.590 5.116
Tm 0.000 7.150 3.380
Tm 0.000 12.354 3.380
Tl 1.807 -4.717 3.602
Tl 1.807 4.717 3.602
```

Results
The formation energy is -1 kJ per mole of atoms. The calculation puts the magnetization at 0.00 Bohr magnetons per cell. As for the uncorrected energy: -45.4 eV for the cell shown.

Entry 4:
Computed, not measured: a relaxed structure of DyTm5Tl5 at the PBE-GGA level of DFT.

Cell and atoms, written as extended XYZ:
```
11
Lattice="7.974 -2.915 0.000 7.974 2.915 0.000 -1.140 0.000 6.971" Properties=species:S:1:pos:R:3 pbc="T T T"
Dy 0.000 0.000 0.000
Tm -0.570 0.000 3.486
Tm 5.079 0.000 0.583
Tm 5.200 0.000 4.141
Tm 9.609 0.000 2.830
Tm 9.729 0.000 6.388
Tl 2.406 0.000 1.967
Tl 1.978 0.000 5.106
Tl 7.974 0.000 0.000
Tl 12.831 0.000 1.866
Tl 12.403 0.000 5.005
```

Results
The formation energy is -6 kJ per mole of atoms. The calculation puts the magnetization at 0.00 Bohr magnetons per cell. As for the uncorrected energy: -39.5 eV for the cell shown.

Entry 5:
Computed, not measured: a relaxed structure of Dy3Tm2Tl2 at the PBE-GGA level of DFT.

Cell and atoms, written as extended XYZ:
```
14
Lattice="4.992 0.000 0.000 0.000 23.239 0.000 0.000 0.000 3.482" Properties=species:S:1:pos:R:3 pbc="T T T"
Dy 0.000 0.000 0.000
Dy 0.000 3.431 0.000
Dy 0.000 19.808 0.000
Dy 2.496 8.188 0.000
Dy 2.496 11.620 0.000
Dy 2.496 15.051 0.000
Tm 0.000 6.644 1.741
Tm 0.000 16.595 1.741
Tm 2.496 4.976 1.741
Tm 2.496 18.263 1.741
Tl 0.000 9.923 1.741
Tl 0.000 13.316 1.741
Tl 2.496 1.696 1.741
Tl 2.496 21.543 1.741
```

Results
The formation energy is -8 kJ per mole of atoms. The calculation puts the energy above the most stable polymorph in this dataset at 100.9 meV per atom. The calculation puts the magnetization at 0.87 Bohr magnetons per cell. As for the uncorrected energy: -56.2 eV for the cell shown.

Entry 6:
Computed, not measured: a relaxed structure of Dy6TmTl4 at the PBE-GGA level of DFT.

Cell and atoms, written as extended XYZ:
```
11
Lattice="-3.194 3.194 8.303 3.194 -3.194 8.303 3.194 3.194 -8.303" Properties=species:S:1:pos:R:3 pbc="T T T"
Dy 3.194 0.000 0.000
Dy 1.682 -1.682 5.324
Dy 1.512 1.512 2.978
Dy 0.000 3.194 0.000
Dy -1.682 1.682 5.324
Dy 1.682 1.682 11.281
Tm 0.000 0.000 8.303
Tl 1.639 1.639 -2.229
Tl 1.555 -1.555 10.532
Tl 1.555 1.555 6.073
Tl -1.555 1.555 10.532
```

Results
The formation energy is -13 kJ per mole of atoms. The calculation puts the magnetization at 1.38 Bohr magnetons per cell. As for the uncorrected energy: -43.0 eV for the cell shown.

Entry 7:
Computed, not measured: a relaxed structure of DyTm4Tl at the PBE-GGA level of DFT.

Cell and atoms, written as extended XYZ:
```
6
Lattice="3.542 0.000 0.000 0.000 3.542 0.000 0.000 0.000 14.024" Properties=species:S:1:pos:R:3 pbc="T T T"
Dy 0.000 0.000 0.000
Tm 0.000 0.000 4.899
Tm 0.000 0.000 9.126
Tm 1.771 1.771 2.473
Tm 1.771 1.771 11.551
Tl 1.771 1.771 7.012
```

Results
The formation energy is -10 kJ per mole of atoms. The calculation puts the energy above the most stable polymorph in this dataset at 0.0 meV per atom. The calculation puts the magnetization at 0.00 Bohr magnetons per cell. As for the uncorrected energy: -25.5 eV for the cell shown.

Entry 8:
Computed, not measured: a relaxed structure of Dy2TmTl at the PBE-GGA level of DFT.

Cell and atoms, written as extended XYZ:
```
16
Lattice="7.697 0.000 0.000 0.000 7.697 0.000 0.000 0.000 7.697" Properties=species:S:1:pos:R:3 pbc="T T T"
Dy 1.924 1.924 1.924
Dy 1.924 1.924 5.773
Dy 1.924 5.773 1.924
Dy 1.924 5.773 5.773
Dy 5.773 1.924 1.924
Dy 5.773 1.924 5.773
Dy 5.773 5.773 1.924
Dy 5.773 5.773 5.773
Tm 0.000 0.000 0.000
Tm 0.000 3.848 3.848
Tm 3.848 0.000 3.848
Tm 3.848 3.848 0.000
Tl 0.000 0.000 3.848
Tl 0.000 3.848 0.000
Tl 3.848 0.000 0.000
Tl 3.848 3.848 3.848
```

Results
The formation energy is -3 kJ per mole of atoms. The calculation puts the energy above the most stable polymorph in this dataset at 140.0 meV per atom. The calculation puts the magnetization at 5.22 Bohr magnetons per cell. As for the uncorrected energy: -64.7 eV for the cell shown.

Entry 9:
Computed, not measured: a relaxed structure of Dy7Tm12Tl at the PBE-GGA level of DFT.

Cell and atoms, written as extended XYZ:
```
20
Lattice="5.886 3.399 5.208 -5.886 3.399 5.208 0.000 -6.797 5.208" Properties=species:S:1:pos:R:3 pbc="T T T"
Dy 0.000 0.000 0.000
Dy -1.454 -1.328 4.584
Dy -0.423 1.923 4.584
Dy 1.877 -0.596 4.584
Dy -1.877 0.596 11.041
Dy 0.423 -1.923 11.041
Dy 1.454 1.328 11.041
Tm -3.758 1.397 3.932
Tm 0.669 -3.953 3.932
Tm -2.979 0.909 7.042
Tm -2.276 -2.125 8.583
Tm -3.089 -2.556 11.693
Tm 0.702 -3.034 7.042
Tm -0.702 3.034 8.583
Tm 3.089 2.556 3.932
Tm 2.276 2.125 7.042
Tm 2.979 -0.909 8.583
Tm -0.669 3.953 11.693
Tm 3.758 -1.397 11.693
Tl 0.000 0.000 7.813
```

Results
The formation energy is 18 kJ per mole of atoms. The calculation puts the magnetization at 0.00 Bohr magnetons per cell. As for the uncorrected energy: -84.6 eV for the cell shown.

Entry 10:
Computed, not measured: a relaxed structure of Dy7TmTl5 at the PBE-GGA level of DFT.

Cell and atoms, written as extended XYZ:
```
13
Lattice="-3.267 5.414 5.409 3.267 -5.414 5.409 3.267 5.414 -5.409" Properties=species:S:1:pos:R:3 pbc="T T T"
Dy 0.000 0.000 0.000
Dy 3.267 1.750 1.422
Dy 0.000 0.000 3.506
Dy 0.000 3.384 1.248
Dy 0.000 7.444 1.248
Dy 0.000 5.414 3.877
Dy 0.000 3.664 6.831
Tm 0.000 0.000 7.200
Tl 1.618 2.570 -1.385
Tl 4.916 2.570 -1.385
Tl 3.267 0.000 4.185
Tl -1.649 2.843 4.024
Tl 1.649 2.843 4.024
```

Results
The formation energy is -13 kJ per mole of atoms. The calculation puts the magnetization at 0.00 Bohr magnetons per cell. As for the uncorrected energy: -50.3 eV for the cell shown.

Entry 11:
Computed, not measured: a relaxed structure of DyTm4Tl4 at the PBE-GGA level of DFT.

Cell and atoms, written as extended XYZ:
```
18
Lattice="9.469 0.000 0.000 0.000 9.469 0.000 0.000 0.000 5.734" Properties=species:S:1:pos:R:3 pbc="T T T"
Dy 2.367 2.367 1.434
Dy 7.102 7.102 4.301
Tm 0.908 7.850 3.673
Tm 1.619 5.643 0.806
Tm 3.116 8.561 0.806
Tm 3.826 6.354 3.673
Tm 5.643 3.116 2.061
Tm 6.354 0.908 4.928
Tm 7.850 3.826 4.928
Tm 8.561 1.619 2.061
Tl 0.384 1.384 4.895
Tl 1.384 4.351 3.706
Tl 3.351 0.384 3.706
Tl 4.351 3.351 4.895
Tl 5.118 6.119 0.839
Tl 6.119 9.085 2.028
Tl 8.085 5.118 2.028
Tl 9.085 8.085 0.839
```

Results
The formation energy is -13 kJ per mole of atoms. The calculation puts the magnetization at 0.00 Bohr magnetons per cell. As for the uncorrected energy: -66.4 eV for the cell shown.

Entry 12:
Computed, not measured: a relaxed structure of Dy5Tm4Tl at the PBE-GGA level of DFT.

Cell and atoms, written as extended XYZ:
```
10
Lattice="3.528 0.000 0.000 0.000 3.528 0.000 0.000 0.000 24.263" Properties=species:S:1:pos:R:3 pbc="T T T"
Dy 0.000 0.000 0.000
Dy 0.000 0.000 4.968
Dy 0.000 0.000 9.943
Dy 0.000 0.000 14.320
Dy 0.000 0.000 19.295
Tm 1.764 1.764 2.488
Tm 1.764 1.764 7.459
Tm 1.764 1.764 16.803
Tm 1.764 1.764 21.774
Tl 1.764 1.764 12.131
```

Results
The formation energy is -5 kJ per mole of atoms. The calculation puts the energy above the most stable polymorph in this dataset at 0.0 meV per atom. The calculation puts the magnetization at 0.00 Bohr magnetons per cell. As for the uncorrected energy: -43.7 eV for the cell shown.